Computed, not measured: a relaxed structure of TbErI3 at the PBE-GGA level of DFT.

```
TbErI3
1.0
10.349 -2.035 0.000
10.349 2.035 0.000
-4.218 0.000 10.469
Tb Er I
2 2 6
Direct
0.074 0.074 0.243
0.926 0.926 0.757
0.429 0.429 0.031
0.571 0.571 0.969
0.073 0.073 0.757
0.187 0.187 0.130
0.361 0.361 0.542
0.639 0.639 0.458
0.813 0.813 0.870
0.927 0.927 0.243
```

Values from the calculation:
The value obtained for the uncorrected formation energy is -1.093 eV per atom. As for the total magnetization: 0.000 Bohr magnetons per cell. Its space group is No. 12.